Entry 1:
Below is an optimized crystal structure of LiTmB2Pt5, with properties calculated at the PBE-GGA level.

Values from the calculation:
formation energy: -0.695 eV per atom
DFT total energy: -6.245 eV per atom
DOS(E_F): 0.385 states/eV per atom
spin magnetization: 0.00 μB per formula unit

Cell: 3.878 3.878 8.400 Å, 90.00 90.00 90.00°
Fractional positions:
1 B 0.500 0.500 0.113
2 Pt 0.000 0.500 0.254
3 Pt 0.500 0.500 0.500
4 Li 0.000 0.000 0.500
5 B 0.500 0.500 0.887
6 Pt 0.000 0.500 0.746
7 Tm 0.000 0.000 0.000
8 Pt 0.500 0.000 0.746
9 Pt 0.500 0.000 0.254

Entry 2:
Below is an optimized crystal structure of BaIO2F, with properties calculated at the PBE-GGA level.

Values from the calculation:
DFT total energy: -3.670 eV per atom
DOS(E_F): 0.341 states/eV per atom
ΔE_f (raw): -0.618 eV/atom
spin magnetization: 2.00 μB per formula unit

Cell: 4.972 4.972 4.213 Å, 90.00 90.00 90.00°
Fractional positions:
1 I 0.000 0.000 0.500
2 O 0.000 0.500 0.000
3 Ba 0.500 0.500 0.500
4 F 0.000 0.000 0.000
5 O 0.500 0.000 0.000